# Y2Mo2W, optimized geometry, DFT PBE
# - Formation enthalpy at 0 K: 325.6 meV/atom
# - Offset from the most stable computed form: 0 meV/atom
# - Magnetic moment: 0.000 μB/atom
data_Y2Mo2W
_symmetry_space_group_name_H-M 'P 4/m b m'
_symmetry_Int_Tables_number 127
_symmetry_space_group_name_Hall '-P 4 2ab'
_cell_length_a 6.609
_cell_length_b 6.609
_cell_length_c 5.001
_cell_angle_alpha 90.00
_cell_angle_beta 90.00
_cell_angle_gamma 90.00
loop_
_atom_site_label
_atom_site_type_symbol
_atom_site_fract_x
_atom_site_fract_y
_atom_site_fract_z
Y1 Y 0.176 0.324 0.000
Mo1 Mo 0.135 0.635 0.500
W1 W 0.000 0.000 0.500

=====

# YMoW2, optimized geometry, DFT PBE
# - Formation enthalpy at 0 K: 362.1 meV/atom
# - Offset from the most stable computed form: 35 meV/atom
# - Magnetic moment: 0.000 μB/atom
data_YMoW2
_symmetry_space_group_name_H-M 'C m m 2'
_symmetry_Int_Tables_number 35
_cell_length_a 3.269
_cell_length_b 4.682
_cell_length_c 9.499
_cell_angle_alpha 90.00
_cell_angle_beta 90.00
_cell_angle_gamma 90.00
loop_
_symmetry_equiv_pos_as_xyz
'x,y,z'
'-x,-y,z'
'-x,y,z'
'x,-y,z'
'x+1/2,y+1/2,z'
'-x+1/2,-y+1/2,z'
'-x+1/2,y+1/2,z'
'x+1/2,-y+1/2,z'
loop_
_atom_site_label
_atom_site_type_symbol
_atom_site_fract_x
_atom_site_fract_y
_atom_site_fract_z
Y1 Y 0.000 0.000 0.000
Mo1 Mo 0.000 0.500 0.274
W1 W 0.000 0.000 0.498
W2 W 0.000 0.500 0.724

=====

# YMoW2, optimized geometry, DFT PBE
# - Formation enthalpy at 0 K: 362.1 meV/atom
# - Offset from the most stable computed form: 35 meV/atom
# - Magnetic moment: 0.000 μB/atom
data_YMoW2
_symmetry_space_group_name_H-M 'P 4/m m m'
_symmetry_Int_Tables_number 123
_symmetry_space_group_name_Hall '-P 4 2'
_cell_length_a 3.194
_cell_length_b 3.194
_cell_length_c 7.405
_cell_angle_alpha 90.00
_cell_angle_beta 90.00
_cell_angle_gamma 90.00
loop_
_atom_site_label
_atom_site_type_symbol
_atom_site_fract_x
_atom_site_fract_y
_atom_site_fract_z
Y1 Y 0.000 0.000 0.000
Mo1 Mo 0.000 0.000 0.500
W1 W 0.500 0.500 0.298

=====

# Y2MoW, optimized geometry, DFT PBE
# - Formation enthalpy at 0 K: 471.3 meV/atom
# - Offset from the most stable computed form: 282 meV/atom
# - Magnetic moment: 0.000 μB/atom
data_Y2MoW
_symmetry_space_group_name_H-M 'R 3 m'
_symmetry_Int_Tables_number 160
_symmetry_space_group_name_Hall 'R 3 -2"'
_cell_length_a 3.2705
_cell_length_b 3.2705
_cell_length_c 29.8677
_cell_angle_alpha 90.00
_cell_angle_beta 90.00
_cell_angle_gamma 120.00
loop_
_atom_site_label
_atom_site_type_symbol
_atom_site_fract_x
_atom_site_fract_y
_atom_site_fract_z
Y1 Y 0.0000 0.0000 0.0000
Y2 Y 0.0000 0.0000 0.2244
Mo1 Mo 0.0000 0.0000 0.7490
W1 W 0.0000 0.0000 0.4746

=====

# YMoW, optimized geometry, DFT PBE
# - Formation enthalpy at 0 K: 118.5 meV/atom
# - Offset from the most stable computed form: 0 meV/atom
# - Magnetic moment: 0.000 μB/atom
data_YMoW
_symmetry_space_group_name_H-M 'I m m a'
_symmetry_Int_Tables_number 74
_symmetry_space_group_name_Hall '-I 2b 2'
_cell_length_a 5.529
_cell_length_b 5.532
_cell_length_c 7.844
_cell_angle_alpha 90.00
_cell_angle_beta 90.00
_cell_angle_gamma 90.00
loop_
_atom_site_label
_atom_site_type_symbol
_atom_site_fract_x
_atom_site_fract_y
_atom_site_fract_z
Y1 Y 0.000 0.250 0.125
Mo1 Mo 0.250 0.250 0.750
W1 W 0.000 0.000 0.500

=====

# YMoW2, optimized geometry, DFT PBE
# - Formation enthalpy at 0 K: 967.0 meV/atom
# - Offset from the most stable computed form: 640 meV/atom
# - Magnetic moment: 0.000 μB/atom
data_YMoW2
_symmetry_space_group_name_H-M 'I -4 2 d'
_symmetry_Int_Tables_number 122
_symmetry_space_group_name_Hall 'I -4 2bw'
_cell_length_a 7.572
_cell_length_b 7.572
_cell_length_c 5.664
_cell_angle_alpha 90.00
_cell_angle_beta 90.00
_cell_angle_gamma 90.00
loop_
_atom_site_label
_atom_site_type_symbol
_atom_site_fract_x
_atom_site_fract_y
_atom_site_fract_z
Y1 Y 0.000 0.000 0.000
Mo1 Mo 0.000 0.000 0.500
W1 W 0.206 0.250 0.625

=====

# YMoW2, optimized geometry, DFT PBE
# - Formation enthalpy at 0 K: 534.6 meV/atom
# - Offset from the most stable computed form: 208 meV/atom
# - Magnetic moment: 0.000 μB/atom
data_YMoW2
_symmetry_space_group_name_H-M 'F m -3 m'
_symmetry_Int_Tables_number 225
_symmetry_space_group_name_Hall '-F 4 2 3'
_cell_length_a 6.602
_cell_length_b 6.602
_cell_length_c 6.602
_cell_angle_alpha 90.00
_cell_angle_beta 90.00
_cell_angle_gamma 90.00
loop_
_atom_site_label
_atom_site_type_symbol
_atom_site_fract_x
_atom_site_fract_y
_atom_site_fract_z
Y1 Y 0.000 0.000 0.000
Mo1 Mo 0.000 0.000 0.500
W1 W 0.250 0.250 0.250

=====

# Y2MoW, optimized geometry, DFT PBE
# - Formation enthalpy at 0 K: 687.9 meV/atom
# - Offset from the most stable computed form: 499 meV/atom
# - Magnetic moment: 0.000 μB/atom
data_Y2MoW
_symmetry_space_group_name_H-M 'I 4/m m m'
_symmetry_Int_Tables_number 139
_symmetry_space_group_name_Hall '-I 4 2'
_cell_length_a 4.165
_cell_length_b 4.165
_cell_length_c 9.790
_cell_angle_alpha 90.00
_cell_angle_beta 90.00
_cell_angle_gamma 90.00
loop_
_atom_site_label
_atom_site_type_symbol
_atom_site_fract_x
_atom_site_fract_y
_atom_site_fract_z
Y1 Y 0.000 0.500 0.250
Mo1 Mo 0.000 0.000 0.000
W1 W 0.000 0.000 0.500

=====

# YMoW3, optimized geometry, DFT PBE
# - Formation enthalpy at 0 K: 1517.6 meV/atom
# - Offset from the most stable computed form: 0 meV/atom
# - Magnetic moment: 0.265 μB/atom
data_YMoW3
_symmetry_space_group_name_H-M 'P m -3 m'
_symmetry_Int_Tables_number 221
_symmetry_space_group_name_Hall '-P 4 2 3'
_cell_length_a 4.809
_cell_length_b 4.809
_cell_length_c 4.809
_cell_angle_alpha 90.00
_cell_angle_beta 90.00
_cell_angle_gamma 90.00
loop_
_atom_site_label
_atom_site_type_symbol
_atom_site_fract_x
_atom_site_fract_y
_atom_site_fract_z
Y1 Y 0.000 0.000 0.000
Mo1 Mo 0.500 0.500 0.500
W1 W 0.000 0.500 0.500

=====

# YMo3W, optimized geometry, DFT PBE
# - Formation enthalpy at 0 K: 1215.7 meV/atom
# - Offset from the most stable computed form: 0 meV/atom
# - Magnetic moment: 0.425 μB/atom
data_YMo3W
_symmetry_space_group_name_H-M 'P m -3 m'
_symmetry_Int_Tables_number 221
_symmetry_space_group_name_Hall '-P 4 2 3'
_cell_length_a 4.827
_cell_length_b 4.827
_cell_length_c 4.827
_cell_angle_alpha 90.00
_cell_angle_beta 90.00
_cell_angle_gamma 90.00
loop_
_atom_site_label
_atom_site_type_symbol
_atom_site_fract_x
_atom_site_fract_y
_atom_site_fract_z
Y1 Y 0.000 0.000 0.000
Mo1 Mo 0.000 0.500 0.500
W1 W 0.500 0.500 0.500

=====

# Y2MoW, optimized geometry, DFT PBE
# - Formation enthalpy at 0 K: 789.0 meV/atom
# - Offset from the most stable computed form: 600 meV/atom
# - Magnetic moment: 0.456 μB/atom
data_Y2MoW
_symmetry_space_group_name_H-M 'P 4/m m m'
_symmetry_Int_Tables_number 123
_symmetry_space_group_name_Hall '-P 4 2'
_cell_length_a 3.500
_cell_length_b 3.500
_cell_length_c 7.084
_cell_angle_alpha 90.00
_cell_angle_beta 90.00
_cell_angle_gamma 90.00
loop_
_atom_site_label
_atom_site_type_symbol
_atom_site_fract_x
_atom_site_fract_y
_atom_site_fract_z
Y1 Y 0.000 0.000 0.249
Mo1 Mo 0.500 0.500 0.500
W1 W 0.500 0.500 0.000

=====

# YMoW2, optimized geometry, DFT PBE
# - Formation enthalpy at 0 K: 438.5 meV/atom
# - Offset from the most stable computed form: 112 meV/atom
# - Magnetic moment: 0.000 μB/atom
data_YMoW2
_symmetry_space_group_name_H-M 'F -4 3 m'
_symmetry_Int_Tables_number 216
_symmetry_space_group_name_Hall 'F -4 2 3'
_cell_length_a 6.600
_cell_length_b 6.600
_cell_length_c 6.600
_cell_angle_alpha 90.00
_cell_angle_beta 90.00
_cell_angle_gamma 90.00
loop_
_atom_site_label
_atom_site_type_symbol
_atom_site_fract_x
_atom_site_fract_y
_atom_site_fract_z
Y1 Y 0.000 0.000 0.000
Mo1 Mo 0.250 0.250 0.750
W1 W 0.000 0.000 0.500
W2 W 0.250 0.250 0.250

=====

# Zn2MoW, optimized geometry, DFT PBE
# - Formation enthalpy at 0 K: 318.1 meV/atom
# - Offset from the most stable computed form: 200 meV/atom
# - Magnetic moment: 0.000 μB/atom
data_Zn2MoW
_symmetry_space_group_name_H-M 'R -3 m'
_symmetry_Int_Tables_number 166
_symmetry_space_group_name_Hall '-R 3 2"'
_cell_length_a 2.7965
_cell_length_b 2.7965
_cell_length_c 27.2876
_cell_angle_alpha 90.00
_cell_angle_beta 90.00
_cell_angle_gamma 120.00
loop_
_atom_site_label
_atom_site_type_symbol
_atom_site_fract_x
_atom_site_fract_y
_atom_site_fract_z
Zn1 Zn 0.0000 0.0000 0.2502
Mo1 Mo 0.0000 0.0000 0.0000
W1 W 0.0000 0.0000 0.5000

=====

# Zn2MoW, optimized geometry, DFT PBE
# - Formation enthalpy at 0 K: 208.6 meV/atom
# - Offset from the most stable computed form: 90 meV/atom
# - Magnetic moment: 0.000 μB/atom
data_Zn2MoW
_symmetry_space_group_name_H-M 'I m m 2'
_symmetry_Int_Tables_number 44
_cell_length_a 3.422
_cell_length_b 4.336
_cell_length_c 8.099
_cell_angle_alpha 90.00
_cell_angle_beta 90.00
_cell_angle_gamma 90.00
loop_
_symmetry_equiv_pos_as_xyz
'x,y,z'
'-x,-y,z'
'-x,y,z'
'x,-y,z'
'x+1/2,y+1/2,z+1/2'
'-x+1/2,-y+1/2,z+1/2'
'-x+1/2,y+1/2,z+1/2'
'x+1/2,-y+1/2,z+1/2'
loop_
_atom_site_label
_atom_site_type_symbol
_atom_site_fract_x
_atom_site_fract_y
_atom_site_fract_z
Zn1 Zn 0.000 0.000 0.000
Zn2 Zn 0.000 0.500 0.270
Mo1 Mo 0.000 0.500 0.762
W1 W 0.000 0.000 0.507

=====

# ZnMo2W, optimized geometry, DFT PBE
# - Formation enthalpy at 0 K: 350.6 meV/atom
# - Magnetic moment: 0.000 μB/atom
data_ZnMo2W
_symmetry_space_group_name_H-M 'R 3 m'
_symmetry_Int_Tables_number 160
_symmetry_space_group_name_Hall 'R 3 -2"'
_cell_length_a 2.7744
_cell_length_b 2.7744
_cell_length_c 28.5701
_cell_angle_alpha 90.00
_cell_angle_beta 90.00
_cell_angle_gamma 120.00
loop_
_atom_site_label
_atom_site_type_symbol
_atom_site_fract_x
_atom_site_fract_y
_atom_site_fract_z
Zn1 Zn 0.0000 0.0000 0.0000
Mo1 Mo 0.0000 0.0000 0.4997
Mo2 Mo 0.0000 0.0000 0.7479
W1 W 0.0000 0.0000 0.2519

=====

# ZnMoW3, optimized geometry, DFT PBE
# - Formation enthalpy at 0 K: 2143.4 meV/atom
# - Offset from the most stable computed form: 141 meV/atom
# - Magnetic moment: 0.000 μB/atom
data_ZnMoW3
_symmetry_space_group_name_H-M 'P m -3 m'
_symmetry_Int_Tables_number 221
_symmetry_space_group_name_Hall '-P 4 2 3'
_cell_length_a 4.738
_cell_length_b 4.738
_cell_length_c 4.738
_cell_angle_alpha 90.00
_cell_angle_beta 90.00
_cell_angle_gamma 90.00
loop_
_atom_site_label
_atom_site_type_symbol
_atom_site_fract_x
_atom_site_fract_y
_atom_site_fract_z
Zn1 Zn 0.000 0.000 0.000
Mo1 Mo 0.500 0.500 0.500
W1 W 0.000 0.500 0.500

=====

# Zn2MoW, optimized geometry, DFT PBE
# - Formation enthalpy at 0 K: 212.3 meV/atom
# - Offset from the most stable computed form: 94 meV/atom
# - Magnetic moment: 0.000 μB/atom
data_Zn2MoW
_symmetry_space_group_name_H-M 'P 4 m m'
_symmetry_Int_Tables_number 99
_cell_length_a 3.280
_cell_length_b 3.280
_cell_length_c 5.808
_cell_angle_alpha 90.00
_cell_angle_beta 90.00
_cell_angle_gamma 90.00
loop_
_symmetry_equiv_pos_as_xyz
'x,y,z'
'-y,x,z'
'-x,-y,z'
'y,-x,z'
'-x,y,z'
'y,x,z'
'x,-y,z'
'-y,-x,z'
loop_
_atom_site_label
_atom_site_type_symbol
_atom_site_fract_x
_atom_site_fract_y
_atom_site_fract_z
Zn1 Zn 0.000 0.000 0.000
Zn2 Zn 0.500 0.500 0.220
Mo1 Mo 0.000 0.000 0.507
W1 W 0.500 0.500 0.714

=====

# Zn2MoW, optimized geometry, DFT PBE
# - Formation enthalpy at 0 K: 284.4 meV/atom
# - Offset from the most stable computed form: 166 meV/atom
# - Magnetic moment: 0.000 μB/atom
data_Zn2MoW
_symmetry_space_group_name_H-M 'P m m 2'
_symmetry_Int_Tables_number 25
_cell_length_a 2.650
_cell_length_b 4.218
_cell_length_c 5.528
_cell_angle_alpha 90.00
_cell_angle_beta 90.00
_cell_angle_gamma 90.00
loop_
_symmetry_equiv_pos_as_xyz
'x,y,z'
'-x,-y,z'
'-x,y,z'
'x,-y,z'
loop_
_atom_site_label
_atom_site_type_symbol
_atom_site_fract_x
_atom_site_fract_y
_atom_site_fract_z
Zn1 Zn 0.000 0.000 0.000
Zn2 Zn 0.500 0.500 0.230
Mo1 Mo 0.000 0.000 0.500
W1 W 0.500 0.500 0.731

=====

# ZnMo2W, optimized geometry, DFT PBE
# - Formation enthalpy at 0 K: 113.3 meV/atom
# - Magnetic moment: 0.000 μB/atom
data_ZnMo2W
_symmetry_space_group_name_H-M 'C m m 2'
_symmetry_Int_Tables_number 35
_cell_length_a 3.216
_cell_length_b 4.374
_cell_length_c 8.902
_cell_angle_alpha 90.00
_cell_angle_beta 90.00
_cell_angle_gamma 90.00
loop_
_symmetry_equiv_pos_as_xyz
'x,y,z'
'-x,-y,z'
'-x,y,z'
'x,-y,z'
'x+1/2,y+1/2,z'
'-x+1/2,-y+1/2,z'
'-x+1/2,y+1/2,z'
'x+1/2,-y+1/2,z'
loop_
_atom_site_label
_atom_site_type_symbol
_atom_site_fract_x
_atom_site_fract_y
_atom_site_fract_z
Zn1 Zn 0.000 0.000 0.000
Mo1 Mo 0.000 0.000 0.501
Mo2 Mo 0.000 0.500 0.752
W1 W 0.000 0.500 0.250

=====

# ZnMoW4, optimized geometry, DFT PBE
# - Formation enthalpy at 0 K: 437.8 meV/atom
# - Magnetic moment: 0.000 μB/atom
data_ZnMoW4
_symmetry_space_group_name_H-M 'F -4 3 m'
_symmetry_Int_Tables_number 216
_symmetry_space_group_name_Hall 'F -4 2 3'
_cell_length_a 7.415
_cell_length_b 7.415
_cell_length_c 7.415
_cell_angle_alpha 90.00
_cell_angle_beta 90.00
_cell_angle_gamma 90.00
loop_
_atom_site_label
_atom_site_type_symbol
_atom_site_fract_x
_atom_site_fract_y
_atom_site_fract_z
Zn1 Zn 0.000 0.000 0.000
Mo1 Mo 0.250 0.250 0.750
W1 W 0.126 0.126 0.374